VASP calculation (PBE) on Tb12Y6Al after structural relaxation.

a b c (Å): 8.4624 8.4624 8.4624
angles (deg): 91.75 91.75 91.75
Last column: nearest neighbours and their distance in Å.
Positions (direct):
1 Tb 0.7944 0.5207 0.4624  4 Tb 3.30-3.55, 4 Y 3.36-3.69
2 Tb 0.6283 0.9465 0.8517  4 Tb 3.30-3.49, 1 Al 3.36, 5 Y 3.51-3.59
3 Tb 0.2056 0.4793 0.5376  4 Tb 3.30-3.55, 4 Y 3.36-3.69
4 Tb 0.9465 0.8517 0.6283  4 Tb 3.30-3.49, 1 Al 3.36, 5 Y 3.51-3.59
5 Tb 0.3717 0.0535 0.1483  4 Tb 3.30-3.49, 1 Al 3.36, 5 Y 3.51-3.59
6 Tb 0.4793 0.5376 0.2056  4 Tb 3.30-3.55, 4 Y 3.36-3.69
7 Tb 0.0535 0.1483 0.3717  4 Tb 3.30-3.49, 1 Al 3.36, 5 Y 3.51-3.59
8 Tb 0.1483 0.3717 0.0535  4 Tb 3.30-3.49, 1 Al 3.36, 5 Y 3.51-3.59
9 Tb 0.5207 0.4624 0.7944  4 Tb 3.30-3.55, 4 Y 3.36-3.69
10 Tb 0.8517 0.6283 0.9465  4 Tb 3.30-3.49, 1 Al 3.36, 5 Y 3.51-3.59
11 Tb 0.4624 0.7944 0.5207  4 Tb 3.30-3.55, 4 Y 3.36-3.69
12 Tb 0.5376 0.2056 0.4793  4 Tb 3.30-3.55, 4 Y 3.36-3.69
13 Y 0.2571 0.7357 0.8898  1 Al 3.30, 9 Tb 3.36-3.69, 2 Y 3.44
14 Y 0.8898 0.2571 0.7357  1 Al 3.30, 9 Tb 3.36-3.69, 2 Y 3.44
15 Y 0.1102 0.7429 0.2643  1 Al 3.30, 9 Tb 3.36-3.69, 2 Y 3.44
16 Y 0.7357 0.8898 0.2571  1 Al 3.30, 9 Tb 3.36-3.69, 2 Y 3.44
17 Y 0.2643 0.1102 0.7429  1 Al 3.30, 9 Tb 3.36-3.69, 2 Y 3.44
18 Y 0.7429 0.2643 0.1102  1 Al 3.30, 9 Tb 3.36-3.69, 2 Y 3.44
19 Al 0.0000 0.0000 0.0000  6 Y 3.30, 6 Tb 3.36

Computed properties:
The calculation puts the total energy at -5.06 eV per atom. The calculation puts the calculated formation energy at 0.103 eV per atom.